Below is NaV2Te4 after structural relaxation, with properties calculated at the PBE-GGA level.

POSCAR file:
```
NaV2Te4
1.0
1.940 1.120 14.255
-1.940 1.120 14.255
0.000 -2.240 14.255
Na V Te
1 2 4
Cartesian
0.000 0.000 0.000 Na
0.000 0.000 18.196 V
0.000 0.000 24.568 V
0.000 0.000 5.512 Te
0.000 0.000 11.948 Te
0.000 0.000 30.817 Te
0.000 0.000 37.253 Te
```

## Properties
- E_form (uncorrected) (eV/atom) = -0.4044
- space-group type = R-3m, No. 166

Below is Na2VTe3 after structural relaxation, with properties calculated at the PBE-GGA level.

POSCAR file:
```
Na2VTe3
1.0
6.211 -4.045 0.000
6.211 4.045 0.000
0.000 0.000 7.614
Na V Te
4 2 6
Cartesian
3.932 2.538 5.710 Na
8.489 2.538 5.710 Na
3.932 -2.538 1.903 Na
8.489 -2.538 1.903 Na
6.211 0.818 1.903 V
6.211 -0.818 5.710 V
6.211 3.298 1.903 Te
4.440 0.000 0.000 Te
4.440 0.000 3.807 Te
7.982 0.000 0.000 Te
7.982 0.000 3.807 Te
6.211 -3.298 5.710 Te
```

## Properties
- E_form (uncorrected) (eV/atom) = -0.5362
- space-group type = Cmcm, No. 63

Below is Na3VTe after structural relaxation, with properties calculated at the PBE-GGA level.

POSCAR file:
```
Na3VTe
1.0
5.887 0.000 0.000
0.000 5.887 0.000
0.000 0.000 5.887
Na V Te
3 1 1
Cartesian
0.000 0.000 2.944 Na
0.000 2.944 0.000 Na
2.944 0.000 0.000 Na
2.944 2.944 2.944 V
0.000 0.000 0.000 Te
```

## Properties
- E_form (uncorrected) (eV/atom) = 0.4059
- space-group type = Pm-3m, No. 221

Below is Na4VTe4 after structural relaxation, with properties calculated at the PBE-GGA level.

POSCAR file:
```
Na4VTe4
1.0
-3.690 3.690 6.208
3.690 -3.690 6.208
3.690 3.690 -6.208
Na V Te
4 1 4
Cartesian
3.690 0.000 0.000 Na
0.000 0.000 2.393 Na
0.000 3.690 0.000 Na
0.000 0.000 10.023 Na
0.000 0.000 6.208 V
1.487 -1.487 4.683 Te
2.203 2.203 1.525 Te
-1.487 1.487 4.683 Te
1.487 1.487 7.733 Te
```

## Properties
- E_form (uncorrected) (eV/atom) = -0.6207
- space-group type = I-42m, No. 121

Below is NaV4Te8 after structural relaxation, with properties calculated at the PBE-GGA level.

POSCAR file:
```
NaV4Te8
1.0
3.663 2.115 8.385
-3.663 2.115 8.385
0.000 -4.229 8.385
Na V Te
1 4 8
Cartesian
0.000 0.000 0.000 Na
-3.663 0.000 12.577 V
-1.831 1.057 4.192 V
1.831 1.057 4.192 V
0.000 0.000 12.577 V
0.000 0.000 5.904 Te
-1.826 -1.054 14.293 Te
0.000 -2.109 10.862 Te
-1.826 1.054 10.862 Te
1.826 -1.054 14.293 Te
0.000 2.109 14.293 Te
1.826 1.054 10.862 Te
0.000 0.000 19.251 Te
```

## Properties
- E_form (uncorrected) (eV/atom) = -0.3810
- space-group type = R-3m, No. 166

Below is Na3V5Te12 after structural relaxation, with properties calculated at the PBE-GGA level.

POSCAR file:
```
Na3V5Te12
1.0
-8.548 8.548 8.548
8.548 -8.548 8.548
8.548 8.548 -8.548
Na V Te
12 20 48
Cartesian
4.274 2.137 0.000 Na
8.548 4.274 -2.137 Na
2.137 0.000 4.274 Na
10.685 0.000 4.274 Na
0.000 4.274 2.137 Na
4.274 -2.137 8.548 Na
4.274 10.685 0.000 Na
8.548 4.274 6.411 Na
-2.137 8.548 4.274 Na
6.411 8.548 4.274 Na
0.000 4.274 10.685 Na
4.274 6.411 8.548 Na
0.000 0.000 0.000 V
4.274 4.274 -4.274 V
4.274 -4.274 4.274 V
8.548 0.000 0.000 V
12.822 2.137 0.000 V
8.548 -4.274 6.411 V
6.411 8.548 -4.274 V
6.411 0.000 4.274 V
4.274 6.411 0.000 V
8.548 4.274 2.137 V
-4.274 4.274 4.274 V
0.000 8.548 0.000 V
0.000 0.000 8.548 V
4.274 4.274 4.274 V
0.000 4.274 6.411 V
4.274 2.137 8.548 V
2.137 8.548 4.274 V
2.137 0.000 12.822 V
0.000 12.822 2.137 V
-4.274 6.411 8.548 V
2.471 -0.691 1.009 Te
10.351 5.283 -4.965 Te
7.857 -1.009 2.471 Te
13.513 -1.803 3.265 Te
11.019 0.691 1.009 Te
10.351 -3.265 4.965 Te
1.009 2.471 -0.691 Te
11.814 3.583 -1.803 Te
5.283 4.965 -1.803 Te
7.539 2.471 0.691 Te
-0.691 1.009 2.471 Te
4.965 -1.803 5.283 Te
7.857 7.539 -2.471 Te
4.965 1.803 3.265 Te
7.539 -2.471 7.857 Te
5.283 -4.965 10.351 Te
3.265 4.965 1.803 Te
9.557 6.077 0.691 Te
2.471 7.857 -1.009 Te
10.351 3.265 3.583 Te
4.965 10.351 -3.265 Te
7.857 1.009 6.077 Te
1.803 3.265 4.965 Te
2.471 0.691 7.539 Te
6.077 7.857 1.009 Te
6.745 5.283 3.583 Te
0.691 7.539 2.471 Te
3.583 -1.803 11.814 Te
-1.803 5.283 4.965 Te
6.077 0.691 9.557 Te
-1.009 2.471 7.857 Te
5.283 3.583 6.745 Te
3.265 13.513 -1.803 Te
1.009 11.019 0.691 Te
3.583 6.745 5.283 Te
0.691 1.009 11.019 Te
3.583 10.351 3.265 Te
9.239 7.539 6.077 Te
1.009 6.077 7.857 Te
3.265 3.583 10.351 Te
-3.265 4.965 10.351 Te
7.539 6.077 9.239 Te
-1.803 11.814 3.583 Te
-2.471 7.857 7.539 Te
-4.965 10.351 5.283 Te
0.691 9.557 6.077 Te
-1.803 3.265 13.513 Te
6.077 9.239 7.539 Te
```

## Properties
- E_form (uncorrected) (eV/atom) = -0.2469
- space-group type = Ia-3d, No. 230